VASP calculation (GGA+U) on a geometry-optimized Ac2PrVO8 structure.

Structure (extended XYZ):
```
12
Lattice="-0.931 0.241 -5.521 4.324 -2.960 1.986 -3.768 -5.231 0.408" Properties=species:S:1:pos:R:3 pbc="T T T"
O 2.847 -3.372 0.885
O 0.592 -4.642 -0.302
O -0.924 -6.152 -2.957
O -2.727 -4.706 -1.078
O -3.222 -4.578 -4.012
O 2.352 -3.244 -2.050
O -0.968 -3.309 -2.825
O 0.548 -1.799 -0.171
Pr -1.884 -2.616 0.204
V 0.000 0.000 0.000
Ac -0.684 -6.414 -0.164
Ac 0.309 -1.537 -2.963
```

The value obtained for the density of states at the Fermi level is 0.650 states/eV/cell. The calculation puts the size of the total moment at 0.17 μB/atom. The calculation puts the energy at -7.32 eV per atom.